First-principles (PBE+U) data for crystalline Li2CdMoO4 at its relaxed geometry, as listed in Alexandria via LeMat-Bulk.

Summary:
For the total energy, the calculation gives -44.18 eV per formula unit. The total magnetic moment is 2.000 μB per formula unit.

a = 5.005 Å, b = 5.005 Å, c = 8.314 Å
α = 90.00°, β = 90.00°, γ = 90.00°
Space group I-42m (No. 121)
Inequivalent atoms, fractional coordinates:
Li 0.000 0.500 0.250 [4 per cell]
Cd 0.000 0.000 0.000 [2 per cell]
Mo 0.000 0.000 0.500 [2 per cell]
O 0.227 0.227 0.365 [8 per cell]